# GGA-PBE Y2SiSe, relaxed
# Formation energy (no corrections)   -1.01 eV per atom
# Total magnetization   0.0 μB per formula unit
# ΔE to the lowest computed polymorph   339 meV per atom
data_Y2SiSe
_chemical_formula_sum 'Y4 Si2 Se2'
_cell_length_a 4.4686
_cell_length_b 5.4434
_cell_length_c 7.5854
_cell_angle_alpha 90.00
_cell_angle_beta 90.00
_cell_angle_gamma 90.00
_space_group_name_H-M_alt 'C m m m'
_space_group_IT_number 65
_space_group_name_Hall '-C 2 2'
loop_
_atom_site_label
_atom_site_fract_x
_atom_site_fract_y
_atom_site_fract_z
Y1 0.0000 0.0000 0.2446
Si1 0.0000 0.5000 0.0000
Se1 0.0000 0.5000 0.5000